First-principles (PBE) data for a geometry-optimized GdTlSe2O8 structure, as listed in the Open Quantum Materials Database.

Cell: 5.7156 5.7156 7.5161 Å, 90.00 90.00 120.00°
Fractional positions:
Gd 0.0000 0.0000 0.0000
Tl 0.0000 0.0000 0.5000
Se 0.3333 0.6667 0.7325
Se 0.6667 0.3333 0.2675
O 0.1768 0.3536 0.8151
O 0.1768 0.8232 0.8151
O 0.3333 0.6667 0.5144
O 0.3536 0.1768 0.1849
O 0.6464 0.8232 0.8151
O 0.6667 0.3333 0.4856
O 0.8232 0.1768 0.1849
O 0.8232 0.6464 0.1849

Output
SG ... P-3m1 (164)
V ... 17.72 Å³ per atom

=====

First-principles (PBE) data for a geometry-optimized GdTlSeO structure, as listed in the Open Quantum Materials Database.

Cell: 4.6360 8.0975 6.6125 Å, 90.00 90.00 90.00°
Fractional positions:
Gd 0.0000 0.1326 0.0000
Gd 0.0000 0.8674 0.5000
Tl 0.5000 0.2907 0.5753
Tl 0.5000 0.7093 0.0753
Se 0.5000 0.3152 0.0803
Se 0.5000 0.6848 0.5803
O 0.0000 0.0819 0.6850
O 0.0000 0.9181 0.1850

Output
SG ... Pmc2_1 (26)
Relative energy among the computed polymorphs ... 273 meV/atom
V ... 31.03 Å³ per atom

=====

First-principles (PBE) data for a geometry-optimized GdYSeO2 structure, as listed in the Open Quantum Materials Database.

Cell: 3.8507 3.8507 6.8026 Å, 90.00 90.00 120.00°
Fractional positions:
Gd 0.0000 0.0000 0.0000
Y 0.3333 0.6667 0.5790
Se 0.6667 0.3333 0.2920
O 0.0000 0.0000 0.6620
O 0.3333 0.6667 0.9153

Output
SG ... P3m1 (156)
V ... 17.47 Å³ per atom

=====

First-principles (PBE) data for a geometry-optimized Gd2SiO5 structure, as listed in the Open Quantum Materials Database.

Cell: 9.0941 6.9932 6.7133 Å, 90.00 107.36 90.00°
Fractional positions:
Gd 0.0270 0.1244 0.2335
Gd 0.0270 0.3756 0.7335
Gd 0.3850 0.1457 0.0825
Gd 0.3850 0.3543 0.5825
Gd 0.6150 0.6457 0.4175
Gd 0.6150 0.8543 0.9175
Gd 0.9730 0.6244 0.2665
Gd 0.9730 0.8756 0.7665
Si 0.2974 0.5885 0.0393
Si 0.2974 0.9115 0.5393
Si 0.7026 0.0885 0.4607
Si 0.7026 0.4115 0.9607
O 0.1128 0.6379 0.9920
O 0.1128 0.8621 0.4920
O 0.1177 0.1190 0.9483
O 0.1177 0.3810 0.4483
O 0.2955 0.0704 0.3556
O 0.2955 0.4296 0.8556
O 0.3671 0.0429 0.7469
O 0.3671 0.4571 0.2469
O 0.4038 0.7266 0.5494
O 0.4038 0.7734 0.0494
O 0.5962 0.2266 0.9506
O 0.5962 0.2734 0.4506
O 0.6329 0.5429 0.7531
O 0.6329 0.9571 0.2531
O 0.7045 0.5704 0.1444
O 0.7045 0.9296 0.6444
O 0.8823 0.6190 0.5517
O 0.8823 0.8810 0.0517
O 0.8872 0.1379 0.5080
O 0.8872 0.3621 0.0080

Output
SG ... P2_1/c (14)
Relative energy among the computed polymorphs ... 7 meV/atom
V ... 12.73 Å³ per atom

=====

First-principles (PBE) data for a geometry-optimized Gd2SiO5 structure, as listed in the Open Quantum Materials Database.

Cell: 9.0664 6.9047 6.7155 Å, 90.00 106.41 90.00°
Fractional positions:
Gd 0.0272 0.1252 0.2335
Gd 0.0272 0.3748 0.7335
Gd 0.3805 0.1411 0.0705
Gd 0.3805 0.3589 0.5705
Gd 0.6195 0.6411 0.4295
Gd 0.6195 0.8589 0.9295
Gd 0.9728 0.6252 0.2665
Gd 0.9728 0.8748 0.7665
Si 0.2983 0.5897 0.0326
Si 0.2983 0.9103 0.5326
Si 0.7017 0.0897 0.4674
Si 0.7017 0.4103 0.9674
O 0.1135 0.6358 0.9942
O 0.1135 0.8642 0.4942
O 0.1168 0.1180 0.9442
O 0.1168 0.3820 0.4442
O 0.2933 0.0702 0.3465
O 0.2933 0.4298 0.8465
O 0.3734 0.0465 0.7344
O 0.3734 0.4535 0.2344
O 0.3963 0.7181 0.5305
O 0.3963 0.7819 0.0305
O 0.6037 0.2181 0.9695
O 0.6037 0.2819 0.4695
O 0.6266 0.5465 0.7656
O 0.6266 0.9535 0.2656
O 0.7067 0.5702 0.1535
O 0.7067 0.9298 0.6535
O 0.8832 0.6180 0.5558
O 0.8832 0.8820 0.0558
O 0.8865 0.1358 0.5058
O 0.8865 0.3642 0.0058

Output
SG ... P2_1/c (14)
Relative energy among the computed polymorphs ... 12 meV/atom
V ... 12.60 Å³ per atom

=====

First-principles (PBE) data for a geometry-optimized Gd2SiO5 structure, as listed in the Open Quantum Materials Database.

Cell: 7.9761 7.9761 10.3901 Å, 118.84 118.84 49.64°
Fractional positions:
Gd 0.0045 0.2759 0.8302
Gd 0.2104 0.7163 0.5394
Gd 0.2759 0.0045 0.3302
Gd 0.2837 0.7896 0.9606
Gd 0.7163 0.2104 0.0394
Gd 0.7241 0.9955 0.6698
Gd 0.7896 0.2837 0.4606
Gd 0.9955 0.7241 0.1698
Si 0.2288 0.4098 0.6866
Si 0.4098 0.2288 0.1866
Si 0.5902 0.7712 0.8134
Si 0.7712 0.5902 0.3134
O 0.0647 0.3435 0.6698
O 0.0768 0.8829 0.0989
O 0.0897 0.6772 0.6871
O 0.1171 0.9232 0.4011
O 0.2472 0.3593 0.0493
O 0.3228 0.9103 0.8129
O 0.3435 0.0647 0.1698
O 0.3593 0.2472 0.5493
O 0.3954 0.4279 0.3470
O 0.4279 0.3954 0.8470
O 0.5721 0.6046 0.1530
O 0.6046 0.5721 0.6530
O 0.6407 0.7528 0.4507
O 0.6565 0.9353 0.8302
O 0.6772 0.0897 0.1871
O 0.7528 0.6407 0.9507
O 0.8829 0.0768 0.5989
O 0.9103 0.3228 0.3129
O 0.9232 0.1171 0.9011
O 0.9353 0.6565 0.3302

Output
SG ... C2/c (15)
Relative energy among the computed polymorphs ... 0 meV/atom
V ... 13.33 Å³ per atom

=====

First-principles (PBE) data for a geometry-optimized Gd2SiTeO4 structure, as listed in the Open Quantum Materials Database.

Cell: 6.1679 7.0295 11.0271 Å, 90.00 90.00 90.00°
Fractional positions:
Gd 0.1110 0.2500 0.0000
Gd 0.1110 0.2500 0.5000
Gd 0.3876 0.5339 0.2500
Gd 0.3876 0.9661 0.7500
Gd 0.6124 0.0339 0.2500
Gd 0.6124 0.4661 0.7500
Gd 0.8890 0.7500 0.0000
Gd 0.8890 0.7500 0.5000
Si 0.3867 0.7500 0.0000
Si 0.3867 0.7500 0.5000
Si 0.6133 0.2500 0.0000
Si 0.6133 0.2500 0.5000
Te 0.0960 0.5881 0.7500
Te 0.0960 0.9119 0.2500
Te 0.9040 0.0881 0.7500
Te 0.9040 0.4119 0.2500
O 0.2273 0.5716 0.0350
O 0.2273 0.5716 0.4650
O 0.2273 0.9284 0.5350
O 0.2273 0.9284 0.9650
O 0.4465 0.2355 0.6178
O 0.4465 0.2355 0.8822
O 0.4465 0.2645 0.1178
O 0.4465 0.2645 0.3822
O 0.5535 0.7355 0.6178
O 0.5535 0.7355 0.8822
O 0.5535 0.7645 0.1178
O 0.5535 0.7645 0.3822
O 0.7727 0.0716 0.0350
O 0.7727 0.0716 0.4650
O 0.7727 0.4284 0.5350
O 0.7727 0.4284 0.9650

Output
SG ... Pbcm (57)
V ... 14.94 Å³ per atom

=====

First-principles (PBE) data for a geometry-optimized SmGdO2 structure, as listed in the Open Quantum Materials Database.

Cell: 3.4617 3.4617 4.8949 Å, 90.00 90.00 90.00°
Fractional positions:
Sm 0.0000 0.0000 0.0000
Gd 0.5000 0.5000 0.5000
O 0.0000 0.0000 0.5000
O 0.5000 0.5000 0.0000

Output
SG ... P4/mmm (123)
V ... 14.66 Å³ per atom

=====

First-principles (PBE) data for a geometry-optimized Sm2GdO4 structure, as listed in the Open Quantum Materials Database.

Cell: 6.9094 6.9094 6.9094 Å, 60.00 60.00 60.00°
Fractional positions:
Sm 0.0000 0.0000 0.0000
Sm 0.0000 0.0000 0.5000
Sm 0.0000 0.5000 0.0000
Sm 0.5000 0.0000 0.0000
Gd 0.3750 0.3750 0.3750
Gd 0.6250 0.6250 0.6250
O 0.2344 0.7552 0.7552
O 0.2448 0.2448 0.2448
O 0.2448 0.2448 0.7656
O 0.2448 0.7656 0.2448
O 0.7552 0.2344 0.7552
O 0.7552 0.7552 0.2344
O 0.7552 0.7552 0.7552
O 0.7656 0.2448 0.2448

Output
SG ... Fd-3m (227)
V ... 16.66 Å³ per atom

=====

First-principles (PBE) data for a geometry-optimized Sm2GdTa2O6 structure, as listed in the Open Quantum Materials Database.

Cell: 9.9795 9.9795 9.9795 Å, 157.01 157.01 32.74°
Fractional positions:
Sm 0.1817 0.1817 0.0000
Sm 0.8183 0.8183 0.0000
Gd 0.0000 0.0000 0.0000
Ta 0.4305 0.4305 0.0000
Ta 0.5695 0.5695 0.0000
O 0.0966 0.5966 0.5000
O 0.2947 0.2947 0.0000
O 0.4034 0.9034 0.5000
O 0.5966 0.0966 0.5000
O 0.7053 0.7053 0.0000
O 0.9034 0.4034 0.5000

Output
SG ... I4/mmm (139)
V ... 13.77 Å³ per atom

=====

First-principles (PBE) data for a geometry-optimized Gd2Sn2O5 structure, as listed in the Open Quantum Materials Database.

Cell: 4.2513 4.2513 6.9550 Å, 90.00 90.00 90.00°
Fractional positions:
Gd 0.0000 0.0000 0.0000
Gd 0.0000 0.0000 0.5000
Sn 0.5000 0.5000 0.2084
Sn 0.5000 0.5000 0.7916
O 0.0000 0.5000 0.2429
O 0.0000 0.5000 0.7571
O 0.5000 0.0000 0.2429
O 0.5000 0.0000 0.7571
O 0.5000 0.5000 0.5000

Output
SG ... P4/mmm (123)
Relative energy among the computed polymorphs ... 368 meV/atom
V ... 13.97 Å³ per atom

=====

First-principles (PBE) data for a geometry-optimized Gd2Sn2O7 structure, as listed in the Open Quantum Materials Database.

Cell: 7.3954 7.3954 7.3954 Å, 60.00 60.00 60.00°
Fractional positions:
Gd 0.0000 0.0000 0.0000
Gd 0.0000 0.0000 0.5000
Gd 0.0000 0.5000 0.0000
Gd 0.5000 0.0000 0.0000
Sn 0.0000 0.5000 0.5000
Sn 0.5000 0.0000 0.5000
Sn 0.5000 0.5000 0.0000
Sn 0.5000 0.5000 0.5000
O 0.1250 0.1250 0.1250
O 0.1617 0.1617 0.5883
O 0.1617 0.5883 0.1617
O 0.1617 0.5883 0.5883
O 0.4117 0.4117 0.8383
O 0.4117 0.8383 0.4117
O 0.4117 0.8383 0.8383
O 0.5883 0.1617 0.1617
O 0.5883 0.1617 0.5883
O 0.5883 0.5883 0.1617
O 0.8383 0.4117 0.4117
O 0.8383 0.4117 0.8383
O 0.8383 0.8383 0.4117
O 0.8750 0.8750 0.8750

Output
SG ... Fd-3m (227)
V ... 13.00 Å³ per atom

=====

First-principles (PBE) data for a geometry-optimized Gd2Sn2O5 structure, as listed in the Open Quantum Materials Database.

Cell: 3.7615 3.7615 9.6227 Å, 90.00 90.00 90.00°
Fractional positions:
Gd 0.0000 0.0000 0.2449
Gd 0.0000 0.0000 0.7551
Sn 0.5000 0.5000 0.0000
Sn 0.5000 0.5000 0.5000
O 0.0000 0.0000 0.0000
O 0.0000 0.5000 0.3684
O 0.0000 0.5000 0.6316
O 0.5000 0.0000 0.3684
O 0.5000 0.0000 0.6316

Output
SG ... P4/mmm (123)
Relative energy among the computed polymorphs ... 0 meV/atom
V ... 15.13 Å³ per atom

=====

First-principles (PBE) data for a geometry-optimized Sr2GdO4 structure, as listed in the Open Quantum Materials Database.

Cell: 7.0995 7.0995 7.0995 Å, 60.00 60.00 60.00°
Fractional positions:
Sr 0.0000 0.0000 0.0000
Sr 0.0000 0.0000 0.5000
Sr 0.0000 0.5000 0.0000
Sr 0.5000 0.0000 0.0000
Gd 0.3750 0.3750 0.3750
Gd 0.6250 0.6250 0.6250
O 0.2470 0.7510 0.7510
O 0.2490 0.2490 0.2490
O 0.2490 0.2490 0.7530
O 0.2490 0.7530 0.2490
O 0.7510 0.2470 0.7510
O 0.7510 0.7510 0.2470
O 0.7510 0.7510 0.7510
O 0.7530 0.2490 0.2490

Output
SG ... Fd-3m (227)
V ... 18.07 Å³ per atom

=====

First-principles (PBE) data for a geometry-optimized Sr2Gd2O5 structure, as listed in the Open Quantum Materials Database.

Cell: 4.3573 4.3573 8.2379 Å, 90.00 90.00 90.00°
Fractional positions:
Sr 0.0000 0.0000 0.0000
Sr 0.0000 0.0000 0.5000
Gd 0.5000 0.5000 0.2404
Gd 0.5000 0.5000 0.7596
O 0.0000 0.5000 0.1917
O 0.0000 0.5000 0.8083
O 0.5000 0.0000 0.1917
O 0.5000 0.0000 0.8083
O 0.5000 0.5000 0.5000

Output
SG ... P4/mmm (123)
Relative energy among the computed polymorphs ... 0 meV/atom
V ... 17.38 Å³ per atom

=====

First-principles (PBE) data for a geometry-optimized SrGd2O4 structure, as listed in the Open Quantum Materials Database.

Cell: 9.8822 3.4851 11.9610 Å, 90.00 90.00 90.00°
Fractional positions:
Sr 0.2415 0.2500 0.1484
Sr 0.2585 0.7500 0.6484
Sr 0.7415 0.2500 0.3516
Sr 0.7585 0.7500 0.8516
Gd 0.0649 0.7500 0.3837
Gd 0.0971 0.7500 0.8926
Gd 0.4029 0.2500 0.3926
Gd 0.4351 0.2500 0.8837
Gd 0.5649 0.7500 0.1163
Gd 0.5971 0.7500 0.6074
Gd 0.9029 0.2500 0.1074
Gd 0.9351 0.2500 0.6163
O 0.0054 0.7500 0.7160
O 0.0618 0.7500 0.0826
O 0.1403 0.2500 0.5100
O 0.2243 0.2500 0.8141
O 0.2757 0.7500 0.3141
O 0.3597 0.7500 0.0100
O 0.4382 0.2500 0.5826
O 0.4946 0.2500 0.2160
O 0.5054 0.7500 0.7840
O 0.5618 0.7500 0.4174
O 0.6403 0.2500 0.9900
O 0.7243 0.2500 0.6859
O 0.7757 0.7500 0.1859
O 0.8597 0.7500 0.4900
O 0.9382 0.2500 0.9174
O 0.9946 0.2500 0.2840

Output
SG ... Pnma (62)
V ... 14.71 Å³ per atom

=====

First-principles (PBE) data for a geometry-optimized Sr2Gd2O5 structure, as listed in the Open Quantum Materials Database.

Cell: 4.2137 4.2137 8.9399 Å, 90.00 90.00 90.00°
Fractional positions:
Sr 0.0000 0.0000 0.2355
Sr 0.0000 0.0000 0.7645
Gd 0.5000 0.5000 0.0000
Gd 0.5000 0.5000 0.5000
O 0.0000 0.0000 0.5000
O 0.0000 0.5000 0.1444
O 0.0000 0.5000 0.8556
O 0.5000 0.0000 0.1444
O 0.5000 0.0000 0.8556

Output
SG ... P4/mmm (123)
Relative energy among the computed polymorphs ... 839 meV/atom
V ... 17.64 Å³ per atom

=====

no.,total DFT energy (no corrections) (eV/atom)
1,-5.815
2,-5.618
3,-7.995
4,-8.276
5,-8.271
6,-8.283
7,-7.593
8,-7.591
9,-7.974
10,-8.664
11,-6.445
12,-7.303
13,-6.813
14,-6.615
15,-7.098
16,-7.684
17,-6.259